(1)
A relaxed structure of TaBe2Br, computed with PBE.

```
TaBe2Br
1.0
2.572 -3.910 0.000
2.572 3.910 0.000
0.000 0.000 2.947
Ta Be Br
1 2 1
direct
0.000 0.000 0.000 Ta
0.000 0.500 0.500 Be
0.500 0.000 0.500 Be
0.500 0.500 0.000 Br
```

Results
Fermi-level density of states	2.02	states/eV/f.u.
offset from the most stable computed form	29.1	kJ/mol of atoms
ΔE_f (raw)	0.675	eV per atom

***

(2)
A relaxed structure of Ta2BeBr, computed with PBE.

```
Ta2BeBr
1.0
3.328 0.000 0.000
0.000 3.328 0.000
0.000 0.000 6.545
Ta Be Br
2 1 1
direct
0.000 0.000 0.000 Ta
0.500 0.500 0.238 Ta
0.000 0.000 0.373 Be
0.500 0.500 0.687 Br
```

Results
Fermi-level density of states	2.98	states/eV/f.u.
offset from the most stable computed form	14.5	kJ/mol of atoms
ΔE_f (raw)	0.360	eV per atom

***

(3)
A relaxed structure of TaBeBr2, computed with PBE.

```
TaBeBr2
1.0
3.135 0.000 0.000
0.000 3.135 0.000
0.000 0.000 9.306
Ta Be Br
1 1 2
direct
0.000 0.000 0.000 Ta
0.000 0.000 0.500 Be
0.500 0.500 0.179 Br
0.500 0.500 0.821 Br
```

Results
Fermi-level density of states	2.60	states/eV/f.u.
offset from the most stable computed form	76.8	kJ/mol of atoms
ΔE_f (raw)	0.682	eV per atom

***

(4)
A relaxed structure of Ta2BeBr, computed with PBE.

```
Ta2BeBr
1.0
1.799 1.038 6.423
-1.799 1.038 6.423
0.000 -2.077 6.423
Ta Be Br
2 1 1
direct
0.220 0.220 0.220 Ta
0.780 0.780 0.780 Ta
0.500 0.500 0.500 Be
0.000 0.000 0.000 Br
```

Results
Fermi-level density of states	2.34	states/eV/f.u.
offset from the most stable computed form	0.0	kJ/mol of atoms
ΔE_f (raw)	0.209	eV per atom

***

(5)
A relaxed structure of TaBe2Br, computed with PBE.

```
TaBe2Br
1.0
3.009 0.000 0.000
0.000 3.592 0.000
-1.497 0.000 6.024
Ta Be Br
1 2 1
direct
0.000 0.000 0.000 Ta
0.576 0.500 0.149 Be
0.665 0.000 0.336 Be
0.814 0.500 0.632 Br
```

Results
Fermi-level density of states	1.85	states/eV/f.u.
offset from the most stable computed form	6.3	kJ/mol of atoms
ΔE_f (raw)	0.439	eV per atom

***

(6)
A relaxed structure of TaBeBr2, computed with PBE.

```
TaBeBr2
1.0
-2.879 2.879 4.993
2.879 -2.879 4.993
2.879 2.879 -4.993
Ta Be Br
2 2 4
direct
0.000 0.000 0.000 Ta
0.750 0.250 0.500 Ta
0.250 0.750 0.500 Be
0.500 0.500 0.000 Be
0.187 0.625 0.062 Br
0.375 0.437 0.562 Br
0.563 0.125 0.938 Br
0.875 0.813 0.438 Br
```

Results
Fermi-level density of states	1.00	states/eV/f.u.
offset from the most stable computed form	100.8	kJ/mol of atoms
ΔE_f (raw)	0.931	eV per atom